A geometry-optimized Ca3TeAu structure. Source: Alexandria, functional GGA-PBE.

Calculated values
**ΔE to the lowest computed polymorph**: 0.000 eV/atom
**Symmetry**: Pm-3m
**Total moment**: 0.00 μB per formula unit
**Fermi-level density of states**: 3.3 states/eV per cell
**Formation energy (no corrections)**: -625.3 meV/atom
**E_tot**: -0.229 Ry/atom

Cell lengths 5.639, 5.639, 5.639 Å; angles 90.00, 90.00, 90.00 degrees
Sites, in units of the cell vectors:
Ca: 0.000 0.500 0.000
Ca: 0.500 0.000 0.000
Ca: 0.000 0.000 0.500
Au: 0.000 0.000 0.000
Te: 0.500 0.500 0.500